# LiBeTl2 | Alexandria | GGA-PBEsol | relaxed
# - E above lowest polymorph (kJ/mol of formula units) = 24
data_LiBeTl2
_chemical_formula_sum 'Li2 Be2 Tl4'
_cell_length_a 4.018
_cell_length_b 4.018
_cell_length_c 9.568
_cell_angle_alpha 90.00
_cell_angle_beta 90.00
_cell_angle_gamma 90.00
_symmetry_space_group_name_H-M 'I -4 m 2'
_symmetry_Int_Tables_number 119
_symmetry_space_group_name_Hall 'I -4 -2'
loop_
_atom_site_label
_atom_site_type_symbol
_atom_site_fract_x
_atom_site_fract_y
_atom_site_fract_z
_atom_site_occupancy
Li1 Li 0.000 0.000 0.000 1
Be1 Be 0.000 0.500 0.750 1
Tl1 Tl 0.000 0.000 0.500 1
Tl2 Tl 0.000 0.500 0.250 1


# Li2BeTl | Alexandria | GGA-PBEsol | relaxed
# - energy (eV/atom) = -2.504
data_Li2BeTl
_chemical_formula_sum 'Li2 Be1 Tl1'
_cell_length_a 3.172
_cell_length_b 3.172
_cell_length_c 6.393
_cell_angle_alpha 90.00
_cell_angle_beta 90.00
_cell_angle_gamma 90.00
_symmetry_space_group_name_H-M 'P 4 m m'
_symmetry_Int_Tables_number 99
loop_
_symmetry_equiv_pos_as_xyz
'x,y,z'
'-y,x,z'
'-x,-y,z'
'y,-x,z'
'-x,y,z'
'y,x,z'
'x,-y,z'
'-y,-x,z'
loop_
_atom_site_label
_atom_site_type_symbol
_atom_site_fract_x
_atom_site_fract_y
_atom_site_fract_z
_atom_site_occupancy
Li1 Li 0.000 0.000 0.000 1
Li2 Li 0.500 0.500 0.263 1
Be1 Be 0.500 0.500 0.807 1
Tl1 Tl 0.000 0.000 0.546 1


# LiBe2Tl | Alexandria | GGA-PBEsol | relaxed
# - E above lowest polymorph (kJ/mol of formula units) = 16
data_LiBe2Tl
_chemical_formula_sum 'Li1 Be2 Tl1'
_cell_length_a 3.770
_cell_length_b 3.770
_cell_length_c 3.758
_cell_angle_alpha 90.00
_cell_angle_beta 90.00
_cell_angle_gamma 90.00
_symmetry_space_group_name_H-M 'P 4/m m m'
_symmetry_Int_Tables_number 123
_symmetry_space_group_name_Hall '-P 4 2'
loop_
_atom_site_label
_atom_site_type_symbol
_atom_site_fract_x
_atom_site_fract_y
_atom_site_fract_z
_atom_site_occupancy
Li1 Li 0.000 0.000 0.000 1
Be1 Be 0.000 0.500 0.500 1
Tl1 Tl 0.500 0.500 0.000 1


# LiBeTl2 | Alexandria | GGA-PBEsol | relaxed
# - E above lowest polymorph (kJ/mol of formula units) = 21
data_LiBeTl2
_chemical_formula_sum 'Li1 Be1 Tl2'
_cell_length_a 3.512
_cell_length_b 4.016
_cell_length_c 5.422
_cell_angle_alpha 90.00
_cell_angle_beta 90.00
_cell_angle_gamma 90.00
_symmetry_space_group_name_H-M 'P m m 2'
_symmetry_Int_Tables_number 25
loop_
_symmetry_equiv_pos_as_xyz
'x,y,z'
'-x,-y,z'
'-x,y,z'
'x,-y,z'
loop_
_atom_site_label
_atom_site_type_symbol
_atom_site_fract_x
_atom_site_fract_y
_atom_site_fract_z
_atom_site_occupancy
Li1 Li 0.000 0.000 0.000 1
Be1 Be 0.500 0.500 0.714 1
Tl1 Tl 0.000 0.000 0.528 1
Tl2 Tl 0.500 0.500 0.197 1


# LiBeTl2 | Alexandria | GGA-PBEsol | relaxed
# - E above lowest polymorph (kJ/mol of formula units) = 40
data_LiBeTl2
_chemical_formula_sum 'Li2 Be2 Tl4'
_cell_length_a 6.442
_cell_length_b 8.365
_cell_length_c 3.228
_cell_angle_alpha 90.00
_cell_angle_beta 114.77
_cell_angle_gamma 90.00
_symmetry_space_group_name_H-M 'C 1 2/m 1'
_symmetry_Int_Tables_number 12
loop_
_symmetry_equiv_pos_as_xyz
'x,y,z'
'-x,-y,-z'
'-x,y,-z'
'x,-y,z'
'x+1/2,y+1/2,z'
'-x+1/2,-y+1/2,-z'
'-x+1/2,y+1/2,-z'
'x+1/2,-y+1/2,z'
loop_
_atom_site_label
_atom_site_type_symbol
_atom_site_fract_x
_atom_site_fract_y
_atom_site_fract_z
_atom_site_occupancy
Li1 Li 0.000 0.000 0.000 1
Be1 Be 0.000 0.500 0.000 1
Tl1 Tl 0.250 0.250 0.500 1


# LiBeW | Alexandria | GGA-PBEsol | relaxed
# - energy (eV/atom) = -5.977
data_LiBeW
_chemical_formula_sum 'Li1 Be1 W1'
_cell_length_a 3.8780
_cell_length_b 3.8780
_cell_length_c 2.6778
_cell_angle_alpha 90.00
_cell_angle_beta 90.00
_cell_angle_gamma 120.00
_symmetry_space_group_name_H-M 'P 3 m 1'
_symmetry_Int_Tables_number 156
loop_
_symmetry_equiv_pos_as_xyz
'x,y,z'
'-y,x-y,z'
'-x+y,-x,z'
'-y,-x,z'
'-x+y,y,z'
'x,x-y,z'
loop_
_atom_site_label
_atom_site_type_symbol
_atom_site_fract_x
_atom_site_fract_y
_atom_site_fract_z
_atom_site_occupancy
Li1 Li 0.0000 0.0000 0.0000 1
Be1 Be 0.3333 0.6667 0.0051 1
W1 W 0.6667 0.3333 0.5020 1


# Li2BeW | Alexandria | GGA-PBEsol | relaxed
# - energy (eV/atom) = -5.055
data_Li2BeW
_chemical_formula_sum 'Li4 Be2 W2'
_cell_length_a 2.432
_cell_length_b 4.409
_cell_length_c 9.673
_cell_angle_alpha 90.00
_cell_angle_beta 90.00
_cell_angle_gamma 90.00
_symmetry_space_group_name_H-M 'I m m m'
_symmetry_Int_Tables_number 71
_symmetry_space_group_name_Hall '-I 2 2'
loop_
_atom_site_label
_atom_site_type_symbol
_atom_site_fract_x
_atom_site_fract_y
_atom_site_fract_z
_atom_site_occupancy
Li1 Li 0.000 0.000 0.219 1
Be1 Be 0.000 0.500 0.500 1
W1 W 0.000 0.500 0.000 1


# Li2YBe | Alexandria | GGA-PBEsol | relaxed
# - energy (eV/atom) = -3.320
data_Li2YBe
_chemical_formula_sum 'Li4 Y2 Be2'
_cell_length_a 5.600
_cell_length_b 10.511
_cell_length_c 3.211
_cell_angle_alpha 90.00
_cell_angle_beta 122.70
_cell_angle_gamma 90.00
_symmetry_space_group_name_H-M 'C 1 2/m 1'
_symmetry_Int_Tables_number 12
loop_
_symmetry_equiv_pos_as_xyz
'x,y,z'
'-x,-y,-z'
'-x,y,-z'
'x,-y,z'
'x+1/2,y+1/2,z'
'-x+1/2,-y+1/2,-z'
'-x+1/2,y+1/2,-z'
'x+1/2,-y+1/2,z'
loop_
_atom_site_label
_atom_site_type_symbol
_atom_site_fract_x
_atom_site_fract_y
_atom_site_fract_z
_atom_site_occupancy
Li1 Li 0.250 0.250 0.000 1
Y1 Y 0.000 0.000 0.500 1
Be1 Be 0.000 0.500 0.500 1